## MnAlPbF6 (PBE with a Hubbard U)

Data for a relaxed MnAlPbF6 crystal.

Geometry as POSCAR:
```
MnAlPbF6
1.0
5.3885 0.0000 0.0000
-2.6942 4.6666 0.0000
0.0000 0.0000 11.7353
Mn Al Pb F
2 2 2 12
Direct
0.3333 0.6667 0.2500
0.6667 0.3333 0.7500
0.3333 0.6667 0.7500
0.6667 0.3333 0.2500
0.0000 0.0000 0.0000
0.0000 0.0000 0.5000
0.0436 0.3907 0.6625
0.0436 0.6529 0.8375
0.3471 0.3907 0.8375
0.3471 0.9564 0.6625
0.3907 0.0436 0.1625
0.3907 0.3471 0.3375
0.6093 0.6529 0.6625
0.6093 0.9564 0.8375
0.6529 0.0436 0.3375
0.6529 0.6093 0.1625
0.9564 0.3471 0.1625
0.9564 0.6093 0.3375
```

Symmetry = No. 163
Total DFT energy (no corrections) = -5.588 eV/atom
M_tot = 5.4 μB/f.u.